{
  "formula": "ZrBeNi2",
  "functional": "PBE",
  "state": "optimized geometry",
  "lattice": [[4.688, 0.000, 1.490], [2.107, 4.188, 1.490], [0.100, 0.062, 7.803]],
  "species": ["Ni", "Ni", "Ni", "Ni", "Ni", "Ni", "Be", "Be", "Be", "Zr", "Zr", "Zr"],
  "fractional_positions": [[0.420, 0.420, 0.240], [0.580, 0.081, 0.760], [0.081, 0.580, 0.760], [0.420, 0.919, 0.240], [0.919, 0.420, 0.240], [0.580, 0.580, 0.760], [0.332, 0.332, 0.003], [0.500, 0.500, 0.500], [0.668, 0.668, 0.997], [0.139, 0.139, 0.582], [0.000, 0.000, 0.000], [0.861, 0.861, 0.418]],
  "ef_mev_per_atom": -442,
  "magnetic_moment_mub_per_cell": 0.7,
  "e_above_lowest_polymorph_mev_per_atom": 0,
  "spacegroup": "No. 166",
  "e_tot_ev_per_cell": -76.8
}

{
  "formula": "La2SmHo2Er",
  "functional": "PBE",
  "state": "optimized geometry",
  "lattice": [[-2.503, 4.910, -1.499], [-5.756, -1.789, 3.753], [3.837, 4.391, 7.977]],
  "species": ["Ho", "Ho", "Ho", "Ho", "Sm", "Sm", "La", "La", "La", "La", "Er", "Er"],
  "fractional_positions": [[0.500, 0.257, 0.334], [0.000, 0.258, 0.834], [0.500, 0.757, 0.666], [0.000, 0.758, 0.166], [0.500, 0.258, 0.658], [0.500, 0.758, 0.342], [0.500, 0.508, 0.000], [0.500, 0.008, 0.000], [0.000, 0.758, 0.821], [0.000, 0.258, 0.179], [0.000, 0.008, 0.500], [0.000, 0.508, 0.500]],
  "ef_mev_per_atom": 66,
  "magnetic_moment_mub_per_cell": 0.0,
  "spacegroup": "No. 51",
  "e_tot_ev_per_cell": -55.8
}

{
  "formula": "W3Cl",
  "functional": "PBE",
  "state": "optimized geometry",
  "lattice": [[-2.853, 0.575, -2.810], [-2.850, -1.016, 2.686], [-0.324, 3.874, 1.122]],
  "species": ["Cl", "W", "W", "W"],
  "fractional_positions": [[0.000, 0.000, 0.000], [0.000, 0.500, 0.500], [0.500, 0.000, 0.500], [0.500, 0.500, 0.000]],
  "e_form_raw_kcal_per_mol_atoms": 34.675,
  "magnetic_moment_mub_per_cell": 0.0,
  "e_above_lowest_polymorph_mev_per_atom": 930,
  "spacegroup": "No. 221",
  "e_tot_ev_per_cell": -34.7
}

{
  "formula": "Pu2CSe",
  "functional": "PBE",
  "state": "optimized geometry",
  "lattice": [[3.782, 0.000, 0.000], [1.891, 3.275, 0.000], [1.891, 1.092, 6.549]],
  "species": ["Pu", "Pu", "C", "Se"],
  "fractional_positions": [[0.733, 0.733, 0.800], [0.267, 0.267, 0.200], [0.000, 0.000, 0.000], [0.500, 0.500, 0.500]],
  "e_form_raw_kcal_per_mol_atoms": -16.567,
  "magnetic_moment_mub_per_cell": 10.0,
  "spacegroup": "No. 166",
  "e_tot_ev_per_cell": -44.2
}